# Sm2Al4NiAu3

A geometry-optimized Sm2Al4NiAu3 structure (PBE-GGA, Alexandria).

abc: 4.313 4.313 10.520
angles: 90.00 90.00 90.00
Fractional coordinates of all 10 atoms:
Sm  0.000  0.500  0.242
Sm  0.500  0.000  0.758
Al  0.000  0.000  0.500
Al  0.000  0.500  0.879
Al  0.500  0.000  0.121
Al  0.500  0.500  0.500
Ni  0.500  0.500  0.000
Au  0.000  0.000  0.000
Au  0.000  0.500  0.638
Au  0.500  0.000  0.362

Results
For the total energy, the calculation gives -4.688 eV/atom. The formation energy comes out at -0.69 eV per atom.